#w
The following is a DFT calculation (GGA-PBE) of a relaxed NbPO5 crystal.

Cell: 7.574 6.928 7.469 Å, 90.00 119.58 90.00°
Space group Cc (No. 9)
Asymmetric unit:
Nb  0.000  0.236  0.000 [4 per cell]
P  0.223  0.350  0.724 [4 per cell]
O  0.067  0.481  0.551 [4 per cell]
O  0.116  0.223  0.808 [4 per cell]
O  0.230  0.168  0.231 [4 per cell]
O  0.327  0.225  0.635 [4 per cell]
O  0.384  0.473  0.903 [4 per cell]

Output
The spin magnetization comes out at 0.001 μB per formula unit.

#x
The following is a DFT calculation (GGA-PBE) of a relaxed NbPO5 crystal.

Cell: 13.085 5.258 13.155 Å, 90.00 119.69 90.00°
Space group P2_1/c (No. 14)
Asymmetric unit:
Nb  0.062  0.241  0.198 [4 per cell]
Nb  0.438  0.745  0.135 [4 per cell]
P  0.155  0.729  0.091 [4 per cell]
P  0.345  0.234  0.937 [4 per cell]
O  0.013  0.554  0.234 [4 per cell]
O  0.086  0.732  0.458 [4 per cell]
O  0.115  0.577  0.651 [4 per cell]
O  0.140  0.045  0.621 [4 per cell]
O  0.213  0.245  0.347 [4 per cell]
O  0.286  0.720  0.633 [4 per cell]
O  0.371  0.538  0.484 [4 per cell]
O  0.372  0.071  0.534 [4 per cell]
O  0.416  0.200  0.376 [4 per cell]
O  0.497  0.050  0.225 [4 per cell]

Output
The spin magnetization comes out at 0.000 μB per formula unit.

Energies relative to the minimum, meV per atom: #w 37; #x 0

#w
The following is a DFT calculation (GGA-PBE) of a relaxed NbPPdO crystal.

Cell: 3.431 6.304 5.983 Å, 90.00 90.00 90.00°
Space group Pmc2_1 (No. 26)
Asymmetric unit:
Nb  0.000  0.125  0.000 [2 per cell]
P  0.500  0.391  0.963 [2 per cell]
Pd  0.500  0.255  0.604 [2 per cell]
O  0.000  0.150  0.331 [2 per cell]

Output
The spin magnetization comes out at 0.003 μB per formula unit.

#x
The following is a DFT calculation (GGA-PBE) of a relaxed NbPPdO crystal.

Cell: 3.624 3.624 7.996 Å, 90.00 90.00 90.00°
Space group P4/nmm (No. 129, origin choice 2)
Asymmetric unit:
Nb  0.250  0.250  0.162 [2 per cell]
P  0.250  0.250  0.710 [2 per cell]
Pd  0.250  0.750  0.500 [2 per cell]
O  0.250  0.750  0.000 [2 per cell]

Output
The spin magnetization comes out at 0.000 μB per formula unit.

#y
The following is a DFT calculation (GGA-PBE) of a relaxed NbPPdO crystal.

Cell: 4.850 4.850 4.661 Å, 90.00 90.00 90.00°
Space group P4/nmm (No. 129, origin choice 2)
Asymmetric unit:
Nb  0.250  0.750  0.000 [2 per cell]
P  0.250  0.250  0.145 [2 per cell]
Pd  0.250  0.250  0.644 [2 per cell]
O  0.250  0.750  0.500 [2 per cell]

Output
The spin magnetization comes out at 0.000 μB per formula unit.

Energies relative to the minimum, meV per atom: #w 101; #x 0; #y 359

#w
The following is a DFT calculation (GGA-PBE) of a relaxed NbPPtO crystal.

Cell: 4.804 4.804 4.759 Å, 90.00 90.00 90.00°
Space group P4/nmm (No. 129, origin choice 2)
Asymmetric unit:
Nb  0.250  0.750  0.000 [2 per cell]
P  0.250  0.250  0.173 [2 per cell]
Pt  0.250  0.250  0.667 [2 per cell]
O  0.250  0.750  0.500 [2 per cell]

Output
The spin magnetization comes out at 0.002 μB per formula unit.

#x
The following is a DFT calculation (GGA-PBE) of a relaxed NbPPtO crystal.

Cell: 2.900 6.081 7.271 Å, 90.00 90.00 90.00°
Space group Pmc2_1 (No. 26)
Asymmetric unit:
Nb  0.000  0.070  0.000 [2 per cell]
P  0.500  0.284  0.401 [2 per cell]
Pt  0.500  0.423  0.109 [2 per cell]
O  0.000  0.097  0.736 [2 per cell]

Output
The spin magnetization comes out at 0.001 μB per formula unit.

Energies relative to the minimum, meV per atom: #w 495; #x 0

#w
The following is a DFT calculation (GGA-PBE) of a relaxed RbNbPO crystal.

Cell: 4.166 4.166 11.543 Å, 90.00 90.00 90.00°
Space group P4/nmm (No. 129, origin choice 2)
Asymmetric unit:
Rb  0.250  0.250  0.150 [2 per cell]
Nb  0.250  0.750  0.500 [2 per cell]
P  0.250  0.250  0.619 [2 per cell]
O  0.250  0.750  0.000 [2 per cell]

Output
The spin magnetization comes out at 0.001 μB per formula unit.

#x
The following is a DFT calculation (GGA-PBE) of a relaxed RbNbPO crystal.

Cell: 3.787 3.787 9.827 Å, 90.00 90.00 90.00°
Space group P4/nmm (No. 129, origin choice 2)
Asymmetric unit:
Rb  0.250  0.750  0.000 [2 per cell]
Nb  0.250  0.250  0.384 [2 per cell]
P  0.250  0.250  0.740 [2 per cell]
O  0.250  0.750  0.500 [2 per cell]

Output
The spin magnetization comes out at 0.865 μB per formula unit.

#y
The following is a DFT calculation (GGA-PBE) of a relaxed RbNbPO crystal.

Cell: 3.863 8.234 6.502 Å, 90.00 90.00 90.00°
Space group Pmc2_1 (No. 26)
Asymmetric unit:
Rb  0.000  0.175  0.000 [2 per cell]
Nb  0.500  0.401  0.565 [2 per cell]
P  0.000  0.236  0.494 [2 per cell]
O  0.500  0.417  0.868 [2 per cell]

Output
The spin magnetization comes out at 0.782 μB per formula unit.

Energies relative to the minimum, meV per atom: #w 862; #x 723; #y 0

#w
The following is a DFT calculation (GGA-PBE) of a relaxed NbSbPO crystal.

Cell: 3.344 6.830 7.211 Å, 90.00 90.00 90.00°
Space group Pmc2_1 (No. 26)
Asymmetric unit:
Nb  0.000  0.065  0.000 [2 per cell]
Sb  0.500  0.301  0.576 [2 per cell]
P  0.500  0.321  0.925 [2 per cell]
O  0.000  0.093  0.263 [2 per cell]

Output
The spin magnetization comes out at 0.001 μB per formula unit.

#x
The following is a DFT calculation (GGA-PBE) of a relaxed NbSbPO crystal.

Cell: 3.805 3.805 9.626 Å, 90.00 90.00 90.00°
Space group P4/nmm (No. 129, origin choice 2)
Asymmetric unit:
Nb  0.250  0.250  0.110 [2 per cell]
Sb  0.250  0.750  0.500 [2 per cell]
P  0.250  0.250  0.764 [2 per cell]
O  0.250  0.750  0.000 [2 per cell]

Output
The spin magnetization comes out at 0.781 μB per formula unit.

#y
The following is a DFT calculation (GGA-PBE) of a relaxed NbSbPO crystal.

Cell: 4.016 4.016 8.526 Å, 90.00 90.00 90.00°
Space group P4/nmm (No. 129, origin choice 2)
Asymmetric unit:
Nb  0.250  0.250  0.102 [2 per cell]
Sb  0.250  0.750  0.500 [2 per cell]
P  0.250  0.250  0.780 [2 per cell]
O  0.250  0.750  0.000 [2 per cell]

Output
The spin magnetization comes out at 0.090 μB per formula unit.

Energies relative to the minimum, meV per atom: #w 0; #x 498; #y 525

#w
The following is a DFT calculation (GGA-PBE) of a relaxed NbSiPO crystal.

Cell: 3.553 5.621 5.555 Å, 90.00 90.00 90.00°
Space group Pmc2_1 (No. 26)
Asymmetric unit:
Nb  0.000  0.032  0.000 [2 per cell]
Si  0.500  0.343  0.275 [2 per cell]
P  0.500  0.246  0.708 [2 per cell]
O  0.000  0.319  0.281 [2 per cell]

Output
The spin magnetization comes out at 0.010 μB per formula unit.

#x
The following is a DFT calculation (GGA-PBE) of a relaxed NbSiPO crystal.

Cell: 4.058 4.058 7.205 Å, 90.00 90.00 90.00°
Space group P4/nmm (No. 129, origin choice 2)
Asymmetric unit:
Nb  0.250  0.750  0.000 [2 per cell]
Si  0.250  0.250  0.464 [2 per cell]
P  0.250  0.250  0.794 [2 per cell]
O  0.250  0.750  0.500 [2 per cell]

Output
The spin magnetization comes out at 0.000 μB per formula unit.

Energies relative to the minimum, meV per atom: #w 0; #x 230

#w
The following is a DFT calculation (GGA-PBE) of a relaxed NbSiPO crystal.

Cell: 3.396 3.396 9.440 Å, 90.00 90.00 90.00°
Space group P4/nmm (No. 129, origin choice 2)
Asymmetric unit:
Nb  0.250  0.250  0.143 [2 per cell]
Si  0.250  0.750  0.500 [2 per cell]
P  0.250  0.250  0.734 [2 per cell]
O  0.250  0.750  0.000 [2 per cell]

Output
The spin magnetization comes out at 0.004 μB per formula unit.

#x
The following is a DFT calculation (GGA-PBE) of a relaxed NbSiPO crystal.

Cell: 3.904 3.904 8.798 Å, 90.00 90.00 90.00°
Space group P4/nmm (No. 129, origin choice 2)
Asymmetric unit:
Nb  0.250  0.750  0.000 [2 per cell]
Si  0.250  0.250  0.433 [2 per cell]
P  0.250  0.250  0.182 [2 per cell]
O  0.250  0.750  0.500 [2 per cell]

Output
The spin magnetization comes out at 0.001 μB per formula unit.

Energies relative to the minimum, meV per atom: #w 0; #x 120

#w
The following is a DFT calculation (GGA-PBE) of a relaxed SmNbPO crystal.

Cell: 4.627 5.895 5.744 Å, 90.00 90.00 90.00°
Space group Pmc2_1 (No. 26)
Asymmetric unit:
Sm  0.000  0.247  0.000 [2 per cell]
Nb  0.500  0.343  0.580 [2 per cell]
P  0.000  0.244  0.507 [2 per cell]
O  0.500  0.337  0.937 [2 per cell]

Output
The spin magnetization comes out at 0.003 μB per formula unit.

#x
The following is a DFT calculation (GGA-PBE) of a relaxed SmNbPO crystal.

Cell: 3.984 3.984 8.921 Å, 90.00 90.00 90.00°
Space group P4/nmm (No. 129, origin choice 2)
Asymmetric unit:
Sm  0.250  0.250  0.130 [2 per cell]
Nb  0.250  0.750  0.500 [2 per cell]
P  0.250  0.250  0.683 [2 per cell]
O  0.250  0.750  0.000 [2 per cell]

Output
The spin magnetization comes out at 0.075 μB per formula unit.

#y
The following is a DFT calculation (GGA-PBE) of a relaxed SmNbPO crystal.

Cell: 4.165 4.165 7.707 Å, 90.00 90.00 90.00°
Space group P4/nmm (No. 129, origin choice 2)
Asymmetric unit:
Sm  0.250  0.750  0.000 [2 per cell]
Nb  0.250  0.250  0.402 [2 per cell]
P  0.250  0.250  0.746 [2 per cell]
O  0.250  0.750  0.500 [2 per cell]

Output
The spin magnetization comes out at 0.002 μB per formula unit.

Energies relative to the minimum, meV per atom: #w 471; #x 0; #y 1175

#w
The following is a DFT calculation (GGA-PBE) of a relaxed NbSnPO crystal.

Cell: 4.248 4.248 9.565 Å, 90.00 90.00 90.00°
Space group P4/nmm (No. 129, origin choice 2)
Asymmetric unit:
Nb  0.250  0.250  0.034 [2 per cell]
Sn  0.250  0.750  0.500 [2 per cell]
P  0.250  0.250  0.269 [2 per cell]
O  0.250  0.750  0.000 [2 per cell]

Output
The spin magnetization comes out at 0.001 μB per formula unit.

#x
The following is a DFT calculation (GGA-PBE) of a relaxed NbSnPO crystal.

Cell: 4.112 4.112 9.744 Å, 90.00 90.00 90.00°
Space group P4/nmm (No. 129, origin choice 2)
Asymmetric unit:
Nb  0.250  0.750  0.000 [2 per cell]
Sn  0.250  0.250  0.391 [2 per cell]
P  0.250  0.250  0.857 [2 per cell]
O  0.250  0.750  0.500 [2 per cell]

Output
The spin magnetization comes out at 0.001 μB per formula unit.

Energies relative to the minimum, meV per atom: #w 11; #x 0